[1]
Density functional theory data (PBE) for an optimized crystal structure of YSc3.

Structure (extended XYZ):
```
4
Lattice="5.433 0.000 0.000 0.000 5.433 0.000 0.000 0.000 5.433" Properties=species:S:1:pos:R:3 pbc="T T T"
Y 0.000 0.000 0.000
Sc 0.000 0.000 2.717
Sc 0.000 2.717 0.000
Sc 2.717 0.000 0.000
```

E_form: 1.50 eV/atom
Polymorph energy (0 for the lowest one): 1486 meV per atom

***

[2]
Density functional theory data (PBE) for an optimized crystal structure of LaMgAl2Ga2.

Structure (extended XYZ):
```
6
Lattice="4.557 0.000 0.000 -2.278 3.946 0.000 0.000 0.000 6.963" Properties=species:S:1:pos:R:3 pbc="T T T"
La 0.000 0.000 0.000
Mg 0.000 0.000 3.481
Al 0.000 2.631 4.859
Al 2.278 1.315 2.104
Ga 0.000 2.631 1.957
Ga 2.278 1.315 5.006
```

E_form: -0.39 eV/atom

***

[3]
Density functional theory data (PBE) for an optimized crystal structure of CaSbAu.

Structure (extended XYZ):
```
6
Lattice="2.349 1.356 8.360 -2.349 1.356 8.360 0.000 -2.712 8.360" Properties=species:S:1:pos:R:3 pbc="T T T"
Ca 0.000 0.000 0.000
Ca 0.000 0.000 4.126
Sb 0.000 0.000 14.611
Sb 0.000 0.000 18.935
Au 0.000 0.000 10.186
Au 0.000 0.000 22.108
```

VASP energy: -3.906 eV per atom

***

[4]
Density functional theory data (PBE) for an optimized crystal structure of PmNd2O4.

Structure (extended XYZ):
```
14
Lattice="0.000 5.014 5.014 5.014 0.000 5.014 5.014 5.014 0.000" Properties=species:S:1:pos:R:3 pbc="T T T"
Pm 1.254 1.254 1.254
Pm 8.775 8.775 8.775
Nd 5.014 2.507 2.507
Nd 2.507 5.014 2.507
Nd 2.507 2.507 5.014
Nd 5.014 5.014 5.014
O 2.562 2.562 2.562
O 4.959 4.959 2.562
O 4.959 2.562 4.959
O 7.466 5.069 5.069
O 2.562 4.959 4.959
O 5.069 7.466 5.069
O 5.069 5.069 7.466
O 7.466 7.466 7.466
```

VASP energy: -7.931 eV per atom